1.
Computed, not measured: crystalline Ac3La2Hg4 at its relaxed geometry at the PBE level of DFT.

Values from the calculation:
Space group: C2/m, No. 12
Total magnetization in μB per atom: 0.018
Energy above the lowest structure with this stoichiometry in eV per atom: 0.000
Formation enthalpy at 0 K in eV per atom: -0.38
Volume in Å³/cell: 297

a b c (Å): 5.621 5.615 10.880
angles (deg): 90.06 90.00 59.97
Fractional coordinates of all 9 atoms:
1 Hg 0.333 0.333 0.104
2 Hg 0.667 0.667 0.896
3 Hg 0.000 0.000 0.340
4 Hg 0.000 0.000 0.660
5 La 0.667 0.667 0.206
6 La 0.333 0.333 0.794
7 Ac 0.667 0.667 0.589
8 Ac 0.000 0.000 0.000
9 Ac 0.333 0.333 0.411

***

2.
Computed, not measured: crystalline Ac4Hg2PtRh at its relaxed geometry at the PBE level of DFT.

Values from the calculation:
Space group: P2/m, No. 10
Total magnetization in μB per atom: 0.000
Formation enthalpy at 0 K in eV per atom: -0.72
Volume in Å³/cell: 269

a b c (Å): 4.343 7.542 8.601
angles (deg): 106.98 90.00 90.00
Fractional coordinates of all 8 atoms:
1 Hg 0.500 0.000 0.500
2 Hg 0.000 0.500 0.500
3 Ac 0.000 0.269 0.795
4 Ac 0.000 0.731 0.205
5 Ac 0.500 0.242 0.207
6 Ac 0.500 0.758 0.793
7 Pt 0.000 0.000 0.000
8 Rh 0.500 0.500 0.000

***

3.
Computed, not measured: crystalline Cs2Ca2NpO6 at its relaxed geometry at the PBE level of DFT.

Values from the calculation:
Space group: C2/m, No. 12
Energy relative to the elements, uncorrected in meV/atom: -2603
Total magnetization in μB per atom: 0.091
Volume in Å³/cell: 221

a b c (Å): 6.030 6.030 7.296
angles (deg): 98.71 98.71 119.11
Each line ends with the local moment (μB).
Fractional coordinates of all 11 atoms:
1 Ca 0.335 0.665 0.500  0.00
2 Ca 0.665 0.335 0.500  0.00
3 Np 0.000 0.000 0.500  1.22
4 Cs 0.171 0.829 0.000  0.00
5 Cs 0.829 0.171 0.000  0.00
6 O 0.765 0.765 0.659  -0.04
7 O 0.949 0.650 0.342  -0.04
8 O 0.051 0.350 0.658  -0.04
9 O 0.350 0.051 0.658  -0.04
10 O 0.235 0.235 0.341  -0.04
11 O 0.650 0.949 0.342  -0.04

***

4.
Computed, not measured: crystalline Os3Rh at its relaxed geometry at the PBE level of DFT.

Values from the calculation:
Space group: C2/m, No. 12
Total magnetization in μB per atom: 0.000
Formation enthalpy at 0 K in eV per atom: 0.11
Volume in Å³/cell: 57

a b c (Å): 4.723 4.723 4.728
angles (deg): 80.54 80.54 33.39
Fractional coordinates of all 4 atoms:
1 Os 0.247 0.247 0.754
2 Os 0.500 0.500 0.000
3 Os 0.753 0.753 0.246
4 Rh 0.000 0.000 0.500

***

5.
Computed, not measured: crystalline ScNb2W at its relaxed geometry at the PBE level of DFT.

Values from the calculation:
Space group: I-42d, No. 122
Total magnetization in μB per atom: 0.000
Energy above the lowest structure with this stoichiometry in eV per atom: 0.532
Formation enthalpy at 0 K in eV per atom: 0.65
Volume in Å³/cell: 158

a b c (Å): 7.434 7.434 5.987
angles (deg): 51.62 51.62 90.00
Fractional coordinates of all 8 atoms:
1 Sc 0.250 0.750 0.500
2 Sc 0.500 0.500 0.000
3 W 0.750 0.250 0.500
4 W 0.000 0.000 0.000
5 Nb 0.651 0.125 0.250
6 Nb 0.375 0.349 0.750
7 Nb 0.875 0.901 0.750
8 Nb 0.099 0.625 0.250

***

6.
Computed, not measured: crystalline ErCd6Hg5 at its relaxed geometry at the PBE level of DFT.

Values from the calculation:
Space group: C2/m, No. 12
Total magnetization in μB per atom: 0.000
Formation enthalpy at 0 K in eV per atom: -0.06
Volume in Å³/cell: 286

a b c (Å): 5.687 5.402 12.949
angles (deg): 73.71 57.80 58.24
Fractional coordinates of all 12 atoms:
1 Hg 0.336 0.328 0.000
2 Hg 0.833 0.334 0.500
3 Hg 0.167 0.666 0.500
4 Hg 0.664 0.672 0.000
5 Hg 0.500 0.000 0.500
6 Cd 0.732 0.334 0.249
7 Cd 0.393 0.000 0.257
8 Cd 0.607 0.000 0.743
9 Cd 0.066 0.666 0.249
10 Cd 0.934 0.334 0.751
11 Cd 0.268 0.666 0.751
12 Er 0.000 0.000 0.000

***

7.
Computed, not measured: crystalline Li3In12Sn at its relaxed geometry at the PBE level of DFT.

Values from the calculation:
Space group: P4/mmm, No. 123
Total magnetization in μB per atom: 0.000
Formation enthalpy at 0 K in eV per atom: -0.09
Volume in Å³/cell: 394

a b c (Å): 4.670 4.670 18.073
angles (deg): 90.00 90.00 90.00
Fractional coordinates of all 16 atoms:
1 Li 0.000 0.000 0.741
2 Li 0.000 0.000 0.500
3 Li 0.000 0.000 0.259
4 In 0.000 0.500 0.378
5 In 0.000 0.500 0.865
6 In 0.500 0.000 0.135
7 In 0.500 0.500 0.256
8 In 0.500 0.000 0.378
9 In 0.500 0.000 0.865
10 In 0.000 0.500 0.622
11 In 0.500 0.500 0.744
12 In 0.500 0.500 0.500
13 In 0.000 0.500 0.135
14 In 0.500 0.000 0.622
15 In 0.500 0.500 0.000
16 Sn 0.000 0.000 0.000

***

8.
Computed, not measured: crystalline LiAgBr2 at its relaxed geometry at the PBE level of DFT.

Values from the calculation:
Space group: P4mm, No. 99
Energy relative to the elements, uncorrected in meV/atom: -895
Total magnetization in μB per atom: 0.000
Energy above the lowest structure with this stoichiometry in eV per atom: 0.047
Volume in Å³/cell: 94

a b c (Å): 4.043 4.046 5.774
angles (deg): 90.00 90.00 90.00
Fractional coordinates of all 4 atoms:
1 Br 0.000 0.000 0.869
2 Br 0.500 0.500 0.372
3 Li 0.000 0.000 0.385
4 Ag 0.500 0.500 0.874

***

9.
Computed, not measured: crystalline TePAu2 at its relaxed geometry at the PBE level of DFT.

Values from the calculation:
Space group: Cm, No. 8
Energy relative to the elements, uncorrected in meV/atom: 59
Total magnetization in μB per atom: 0.000
Energy above the lowest structure with this stoichiometry in eV per atom: 0.000
Volume in Å³/cell: 97

a b c (Å): 4.570 4.570 6.496
angles (deg): 64.54 64.54 54.65
Fractional coordinates of all 4 atoms:
1 Au 0.245 0.245 0.272
2 Au 0.969 0.969 0.020
3 Te 0.685 0.685 0.767
4 P 0.602 0.602 0.440

***

10.
Computed, not measured: crystalline CsAsCSe2 at its relaxed geometry at the PBE level of DFT.

Values from the calculation:
Space group: P4/mmm, No. 123
Energy relative to the elements, uncorrected in meV/atom: 849
Total magnetization in μB per atom: 0.000
Energy above the lowest structure with this stoichiometry in eV per atom: 0.000
Volume in Å³/cell: 117

a b c (Å): 5.224 5.224 4.292
angles (deg): 90.00 90.00 90.00
Fractional coordinates of all 5 atoms:
1 C 0.000 0.000 0.000
2 Cs 0.500 0.500 0.500
3 Se 0.500 0.000 0.000
4 Se 0.000 0.500 0.000
5 As 0.000 0.000 0.500

***

11.
Computed, not measured: crystalline Li2GeCl4 at its relaxed geometry at the PBE level of DFT.

Values from the calculation:
Space group: Fdd2, No. 43
Energy relative to the elements, uncorrected in meV/atom: -1357
Total magnetization in μB per atom: 0.000
Energy above the lowest structure with this stoichiometry in eV per atom: 0.000
Volume in Å³/cell: 346

a b c (Å): 7.927 7.927 7.719
angles (deg): 102.00 102.00 126.51
Fractional coordinates of all 14 atoms:
1 Cl 0.959 0.673 0.630
2 Cl 0.043 0.329 0.370
3 Cl 0.579 0.793 0.870
4 Cl 0.501 0.158 0.138
5 Cl 0.923 0.709 0.130
6 Cl 0.408 0.251 0.638
7 Cl 0.613 0.770 0.362
8 Cl 0.020 0.363 0.862
9 Ge 0.510 0.510 0.000
10 Ge 0.760 0.260 0.500
11 Li 0.003 0.914 0.456
12 Li 0.796 0.208 0.044
13 Li 0.458 0.546 0.544
14 Li 0.164 0.753 0.956

***

12.
Computed, not measured: crystalline Li2HgAsH at its relaxed geometry at the PBE level of DFT.

Values from the calculation:
Space group: P4/mmm, No. 123
Total magnetization in μB per atom: 0.007
Energy above the lowest structure with this stoichiometry in eV per atom: 0.088
Volume in Å³/cell: 93

a b c (Å): 5.050 3.637 5.050
angles (deg): 90.00 90.00 90.00
Each line ends with the local moment (μB).
Fractional coordinates of all 5 atoms:
1 Li 0.500 0.000 0.000  0.00
2 Li 0.000 0.000 0.500  0.00
3 Hg 0.500 0.500 0.500  0.00
4 As 0.000 0.000 0.000  -0.05
5 H 0.000 0.500 0.000  0.07

***

Which of these has the lowest volume? Os3Rh

***

The highest total magnetization belongs to which entry? Cs2Ca2NpO6